No. 1
Pm8Sm2Ho3: optimized geometry, GGA-PBE.

Summary:
electronic total energy: -4.50 eV/atom
energy of formation: 0.21 eV per atom
E above lowest polymorph: 192 meV/atom

The structure in CIF format:
```
data_Pm8Sm2Ho3
_space_group_name_H-M_alt 'C 1 2/m 1'
_space_group_IT_number 12
_cell_length_a 20.548
_cell_length_b 7.713
_cell_length_c 5.686
_cell_angle_alpha 90.00
_cell_angle_beta 90.03
_cell_angle_gamma 90.00
loop_
_space_group_symop_operation_xyz
'x,y,z'
'-x,-y,-z'
'-x,y,-z'
'x,-y,z'
'x+1/2,y+1/2,z'
'-x+1/2,-y+1/2,-z'
'-x+1/2,y+1/2,-z'
'x+1/2,-y+1/2,z'
loop_
_atom_site_label
_atom_site_type_symbol
_atom_site_fract_x
_atom_site_fract_y
_atom_site_fract_z
_atom_site_occupancy
Pm1 Pm 0.105 0.205 0.000 1
Pm2 Pm 0.130 0.500 0.500 1
Pm3 Pm 0.171 0.000 0.501 1
Sm1 Sm 0.240 0.500 0.999 1
Ho1 Ho 0.000 0.214 0.500 1
Ho2 Ho 0.000 0.500 0.000 1
```

---

No. 2
BaLa2CoSn: optimized geometry, GGA-PBE.

Summary:
electronic total energy: -4.80 eV/atom
energy of formation: -0.23 eV per atom

The structure in CIF format:
```
data_BaLa2CoSn
_space_group_name_H-M_alt 'P 4/m m m'
_space_group_IT_number 123
_space_group_name_Hall '-P 4 2'
_cell_length_a 5.417
_cell_length_b 5.417
_cell_length_c 5.275
_cell_angle_alpha 90.00
_cell_angle_beta 90.00
_cell_angle_gamma 90.00
loop_
_atom_site_label
_atom_site_type_symbol
_atom_site_fract_x
_atom_site_fract_y
_atom_site_fract_z
_atom_site_occupancy
Ba1 Ba 0.000 0.000 0.000 1
La1 La 0.000 0.500 0.500 1
Co1 Co 0.500 0.500 0.500 1
Sn1 Sn 0.500 0.500 0.000 1
```

---

No. 3
Li2TlAuCl6: optimized geometry, GGA-PBE.

Summary:
electronic total energy: -3.03 eV/atom
formation energy without anion corrections: -0.970 eV per atom

The structure in CIF format:
```
data_Li2TlAuCl6
_space_group_name_H-M_alt 'P 1'
_space_group_IT_number 1
_cell_length_a 6.646
_cell_length_b 6.652
_cell_length_c 7.241
_cell_angle_alpha 62.79
_cell_angle_beta 62.83
_cell_angle_gamma 60.04
loop_
_space_group_symop_operation_xyz
'x,y,z'
loop_
_atom_site_label
_atom_site_type_symbol
_atom_site_fract_x
_atom_site_fract_y
_atom_site_fract_z
_atom_site_occupancy
Li1 Li 0.000 0.000 0.000 1
Li2 Li 0.471 0.470 0.585 1
Tl1 Tl 0.678 0.677 0.968 1
Au1 Au 0.249 0.246 0.258 1
Cl1 Cl 0.081 0.756 0.767 1
Cl2 Cl 0.256 0.614 0.258 1
Cl3 Cl 0.395 0.080 0.767 1
Cl4 Cl 0.616 0.872 0.258 1
Cl5 Cl 0.756 0.395 0.767 1
Cl6 Cl 0.873 0.255 0.258 1
```

---

No. 4
ErHfNp2N4: optimized geometry, GGA-PBE.

Summary:
electronic total energy: -10.65 eV/atom
formation energy without anion corrections: -1.440 eV per atom

The structure in CIF format:
```
data_ErHfNp2N4
_space_group_name_H-M_alt 'P 1 2/m 1'
_space_group_IT_number 10
_cell_length_a 5.826
_cell_length_b 3.353
_cell_length_c 5.900
_cell_angle_alpha 90.00
_cell_angle_beta 109.10
_cell_angle_gamma 90.00
loop_
_space_group_symop_operation_xyz
'x,y,z'
'-x,-y,-z'
'-x,y,-z'
'x,-y,z'
loop_
_atom_site_label
_atom_site_type_symbol
_atom_site_fract_x
_atom_site_fract_y
_atom_site_fract_z
_atom_site_occupancy
Er1 Er 0.000 0.000 0.000 1
Hf1 Hf 0.500 0.500 0.000 1
Np1 Np 0.000 0.500 0.500 1
Np2 Np 0.500 0.000 0.500 1
N1 N 0.263 0.500 0.243 1
N2 N 0.268 0.000 0.766 1
```